(1)
Below is Na9ZrP4ClO16 after structural relaxation, with properties calculated at the GGA-PBE level. Values from VASP.

Results
* energy relative to the elements, uncorrected: -2.321 eV per atom
* VASP energy: -195.186 eV/cell

Quantum ESPRESSO input file:
```
&SYSTEM
  ibrav = 0, nat = 31, ntyp = 5
/
ATOMIC_SPECIES
Na 22.99 Na.upf
Zr 91.22 Zr.upf
P 30.97 P.upf
Cl 35.45 Cl.upf
O 16.00 O.upf
ATOMIC_POSITIONS crystal
Na 0.532 0.642 0.405
Na 0.434 0.980 0.366
Na 0.471 0.551 0.019
Na 0.058 0.833 0.570
Na 0.460 0.360 0.596
Na 0.931 0.185 0.411
Na 0.955 0.565 0.821
Na 0.040 0.430 0.149
Na 0.537 0.091 0.772
Zr 0.006 0.002 0.997
P 0.526 0.247 0.184
P 0.968 0.787 0.235
P 0.479 0.768 0.800
P 0.044 0.208 0.735
Cl 0.011 0.505 0.493
O 0.785 0.837 0.368
O 0.787 0.200 0.113
O 0.522 0.217 0.337
O 0.017 0.941 0.194
O 0.222 0.807 0.879
O 0.682 0.877 0.912
O 0.219 0.745 0.291
O 0.871 0.650 0.092
O 0.533 0.598 0.780
O 0.468 0.808 0.653
O 0.792 0.249 0.680
O 0.216 0.137 0.597
O 0.168 0.349 0.863
O 0.327 0.139 0.068
O 0.995 0.070 0.800
O 0.480 0.416 0.197
CELL_PARAMETERS angstrom
-0.184 1.928 5.097
5.258 -6.949 2.777
5.166 7.164 -2.824
```

(2)
Below is Na3Pb2S3ClO12 after structural relaxation, with properties calculated at the GGA-PBE level. Values from VASP.

Results
* energy relative to the elements, uncorrected: -1.615 eV per atom
* VASP energy: -238.026 eV/cell

Quantum ESPRESSO input file:
```
&SYSTEM
  ibrav = 0, nat = 42, ntyp = 5
/
ATOMIC_SPECIES
Na 22.99 Na.upf
Pb 207.20 Pb.upf
S 32.06 S.upf
Cl 35.45 Cl.upf
O 16.00 O.upf
ATOMIC_POSITIONS crystal
Na 0.250 0.731 0.021
Na 0.007 0.658 0.681
Na 0.493 0.658 0.681
Na 0.507 0.342 0.319
Na 0.993 0.342 0.319
Na 0.750 0.269 0.979
Pb 0.250 0.014 0.238
Pb 0.750 0.749 0.257
Pb 0.250 0.251 0.743
Pb 0.750 0.986 0.762
S 0.750 0.966 0.417
S 0.750 0.624 0.967
S 0.250 0.583 0.386
S 0.750 0.417 0.614
S 0.250 0.376 0.033
S 0.250 0.034 0.583
Cl 0.000 0.000 0.000
Cl 0.500 0.000 0.000
O 0.250 0.867 0.636
O 0.580 0.728 0.917
O 0.920 0.728 0.917
O 0.750 0.874 0.589
O 0.582 0.918 0.361
O 0.918 0.918 0.361
O 0.750 0.532 0.887
O 0.250 0.477 0.863
O 0.250 0.632 0.503
O 0.750 0.591 0.538
O 0.082 0.641 0.285
O 0.418 0.641 0.285
O 0.582 0.359 0.715
O 0.918 0.359 0.715
O 0.250 0.409 0.462
O 0.750 0.368 0.497
O 0.750 0.523 0.137
O 0.250 0.468 0.113
O 0.082 0.082 0.639
O 0.418 0.082 0.639
O 0.250 0.126 0.411
O 0.080 0.272 0.083
O 0.420 0.272 0.083
O 0.750 0.133 0.364
CELL_PARAMETERS angstrom
-4.179 4.560 3.533
-8.082 -4.788 -3.379
-3.831 -7.622 5.307
```

(3)
Below is Na3Pd2Cl3O2 after structural relaxation, with properties calculated at the GGA-PBE level. Values from VASP.

Results
* energy relative to the elements, uncorrected: -1.032 eV per atom
* VASP energy: -40.117 eV/cell

Quantum ESPRESSO input file:
```
&SYSTEM
  ibrav = 0, nat = 10, ntyp = 4
/
ATOMIC_SPECIES
Na 22.99 Na.upf
Pd 106.42 Pd.upf
Cl 35.45 Cl.upf
O 16.00 O.upf
ATOMIC_POSITIONS crystal
Na 0.879 0.879 0.758
Na 0.500 0.500 0.000
Na 0.121 0.121 0.242
Pd 0.750 0.250 0.500
Pd 0.250 0.750 0.500
Cl 0.621 0.621 0.242
Cl 0.379 0.379 0.758
Cl 0.000 0.000 0.000
O 0.769 0.769 0.538
O 0.231 0.231 0.462
CELL_PARAMETERS angstrom
-2.192 -3.066 -1.653
1.395 -2.563 2.902
-8.598 5.593 6.154
```

(4)
Below is Na2PmClO2 after structural relaxation, with properties calculated at the GGA-PBE level. Values from VASP.

Results
* energy relative to the elements, uncorrected: -2.094 eV per atom
* VASP energy: -31.714 eV/cell

Quantum ESPRESSO input file:
```
&SYSTEM
  ibrav = 0, nat = 6, ntyp = 4
/
ATOMIC_SPECIES
Na 22.99 Na.upf
Pm 145.00 Pm.upf
Cl 35.45 Cl.upf
O 16.00 O.upf
ATOMIC_POSITIONS crystal
Na 0.500 0.500 0.786
Na 0.500 0.500 0.214
Pm 0.000 0.000 0.000
Cl 0.000 0.000 0.500
O 0.500 0.000 0.000
O 0.000 0.500 0.000
CELL_PARAMETERS angstrom
-0.749 0.548 4.444
-3.784 -2.486 -0.331
3.187 -5.005 1.154
```

(5)
Below is Na2PuCl2O2 after structural relaxation, with properties calculated at the GGA-PBE level. Values from VASP.

Results
* energy relative to the elements, uncorrected: -2.173 eV per atom
* VASP energy: -45.790 eV/cell

Quantum ESPRESSO input file:
```
&SYSTEM
  ibrav = 0, nat = 7, ntyp = 4
/
ATOMIC_SPECIES
Na 22.99 Na.upf
Pu 244.00 Pu.upf
Cl 35.45 Cl.upf
O 16.00 O.upf
ATOMIC_POSITIONS crystal
Na 0.363 0.363 0.727
Na 0.637 0.637 0.273
Pu 0.000 0.000 0.000
Cl 0.177 0.177 0.354
Cl 0.823 0.823 0.646
O 0.000 0.500 0.000
O 0.500 0.000 0.000
CELL_PARAMETERS angstrom
-4.159 0.901 0.011
-0.727 -3.387 2.471
3.423 5.691 5.144
```

(6)
Below is NaPuClO2 after structural relaxation, with properties calculated at the GGA-PBE level. Values from VASP.

Results
* energy relative to the elements, uncorrected: -2.349 eV per atom
* VASP energy: -78.316 eV/cell

Quantum ESPRESSO input file:
```
&SYSTEM
  ibrav = 0, nat = 10, ntyp = 4
/
ATOMIC_SPECIES
Na 22.99 Na.upf
Pu 244.00 Pu.upf
Cl 35.45 Cl.upf
O 16.00 O.upf
ATOMIC_POSITIONS crystal
Na 0.750 0.668 0.719
Na 0.250 0.332 0.281
Pu 0.750 0.829 0.329
Pu 0.250 0.171 0.671
Cl 0.750 0.254 0.004
Cl 0.250 0.746 0.996
O 0.250 0.663 0.379
O 0.250 0.039 0.370
O 0.750 0.961 0.630
O 0.750 0.337 0.621
CELL_PARAMETERS angstrom
-0.895 1.767 -2.804
-4.553 -5.307 -1.891
-4.233 4.632 4.270
```

(7)
Below is Na2Pu2Cl2O5 after structural relaxation, with properties calculated at the GGA-PBE level. Values from VASP.

Results
* energy relative to the elements, uncorrected: -2.343 eV per atom
* VASP energy: -85.561 eV/cell

Quantum ESPRESSO input file:
```
&SYSTEM
  ibrav = 0, nat = 11, ntyp = 4
/
ATOMIC_SPECIES
Na 22.99 Na.upf
Pu 244.00 Pu.upf
Cl 35.45 Cl.upf
O 16.00 O.upf
ATOMIC_POSITIONS crystal
Na 0.325 0.325 0.650
Na 0.675 0.675 0.350
Pu 0.085 0.085 0.171
Pu 0.915 0.915 0.829
Cl 0.201 0.201 0.402
Cl 0.799 0.799 0.598
O 0.000 0.000 0.000
O 0.596 0.096 0.192
O 0.904 0.404 0.808
O 0.096 0.596 0.192
O 0.404 0.904 0.808
CELL_PARAMETERS angstrom
4.165 0.000 0.000
0.000 4.165 0.000
-2.082 -2.082 12.095
```

(8)
Below is Rb2Na5Cl3O2 after structural relaxation, with properties calculated at the GGA-PBE level. Values from VASP.

Results
* energy relative to the elements, uncorrected: -1.517 eV per atom
* VASP energy: -42.195 eV/cell

Quantum ESPRESSO input file:
```
&SYSTEM
  ibrav = 0, nat = 12, ntyp = 4
/
ATOMIC_SPECIES
Rb 85.47 Rb.upf
Na 22.99 Na.upf
Cl 35.45 Cl.upf
O 16.00 O.upf
ATOMIC_POSITIONS crystal
Rb 0.690 0.690 0.381
Rb 0.310 0.310 0.619
Na 0.586 0.086 0.171
Na 0.414 0.914 0.829
Na 0.086 0.586 0.171
Na 0.914 0.414 0.829
Na 0.500 0.500 0.000
Cl 0.175 0.175 0.350
Cl 0.825 0.825 0.650
Cl 0.000 0.000 0.000
O 0.414 0.414 0.828
O 0.586 0.586 0.172
CELL_PARAMETERS angstrom
4.616 0.000 0.000
0.000 4.616 0.000
-2.308 -2.308 13.084
```